# Th3U3Fe8

An optimized crystal structure of Th3U3Fe8 (PBE, the Alexandria database).

Results
Space group = C2/m
E_form = -183.8 kJ/mol of formula units
M_tot = 0.000 μB per cell

Lattice parameters (Å, degrees): 7.673 7.673 8.875 117.77 117.77 32.91
Atoms (fractional coordinates):
Th: 0.000 0.000 0.000
Th: 0.300 0.300 0.390
Th: 0.700 0.700 0.610
U: 0.000 0.000 0.500
U: 0.322 0.322 0.955
U: 0.678 0.678 0.045
Fe: 0.067 0.067 0.329
Fe: 0.143 0.143 0.821
Fe: 0.364 0.364 0.756
Fe: 0.458 0.458 0.224
Fe: 0.542 0.542 0.776
Fe: 0.636 0.636 0.244
Fe: 0.857 0.857 0.179
Fe: 0.933 0.933 0.671



# ThUFe3

An optimized crystal structure of ThUFe3 (PBE, the Alexandria database).

Results
Space group = P2_1/c
E_form = -22.6 kJ/mol of formula units
M_tot = 3.225 μB per cell

Lattice parameters (Å, degrees): 7.530 5.837 8.671 90.00 112.43 90.00
Atoms (fractional coordinates):
Th: 0.094 0.098 0.209
Th: 0.094 0.402 0.709
Th: 0.906 0.598 0.291
Th: 0.906 0.902 0.791
U: 0.393 0.711 0.072
U: 0.393 0.789 0.572
U: 0.607 0.211 0.428
U: 0.607 0.289 0.928
Fe: 0.123 0.616 0.094
Fe: 0.123 0.884 0.594
Fe: 0.340 0.211 0.560
Fe: 0.340 0.289 0.060
Fe: 0.382 0.008 0.855
Fe: 0.382 0.492 0.355
Fe: 0.618 0.508 0.645
Fe: 0.618 0.992 0.145
Fe: 0.660 0.711 0.940
Fe: 0.660 0.789 0.440
Fe: 0.877 0.116 0.406
Fe: 0.877 0.384 0.906



# Th3U2Fe6

An optimized crystal structure of Th3U2Fe6 (PBE, the Alexandria database).

Results
Space group = Im-3m
E_form = -60.0 kJ/mol of formula units
M_tot = 4.717 μB per cell

Lattice parameters (Å, degrees): 7.973 7.973 7.973 109.47 109.47 109.47
Atoms (fractional coordinates):
Th: 0.000 0.284 0.284
Th: 0.000 0.716 0.716
Th: 0.284 0.000 0.284
Th: 0.284 0.284 0.000
Th: 0.716 0.000 0.716
Th: 0.716 0.716 0.000
U: 0.000 0.000 0.500
U: 0.000 0.500 0.000
U: 0.500 0.000 0.000
U: 0.500 0.500 0.500
Fe: 0.000 0.344 0.656
Fe: 0.000 0.656 0.344
Fe: 0.313 0.656 0.656
Fe: 0.344 0.000 0.656
Fe: 0.344 0.344 0.687
Fe: 0.344 0.656 0.000
Fe: 0.344 0.687 0.344
Fe: 0.656 0.000 0.344
Fe: 0.656 0.313 0.656
Fe: 0.656 0.344 0.000
Fe: 0.656 0.656 0.313
Fe: 0.687 0.344 0.344



# Th4UFe5

An optimized crystal structure of Th4UFe5 (PBE, the Alexandria database).

Results
Space group = I4mm
E_form = 59.0 kJ/mol of formula units
M_tot = 2.833 μB per cell

Lattice parameters (Å, degrees): 6.894 6.894 6.894 97.28 97.28 138.30
Atoms (fractional coordinates):
Th: 0.000 0.295 0.295
Th: 0.000 0.705 0.705
Th: 0.295 0.000 0.295
Th: 0.705 0.000 0.705
U: 0.627 0.627 0.000
Fe: 0.133 0.133 0.000
Fe: 0.313 0.313 0.658
Fe: 0.313 0.655 0.000
Fe: 0.655 0.313 0.000
Fe: 0.655 0.655 0.342



no.,E_tot (eV/f.u.)
1,-125.7
2,-44.3
3,-96.2
4,-82.7